{"formula": "BaDyBi2", "functional": "PBE", "state": "optimized geometry", "polymorph_energy_ev_per_fu": 0.29, "formation_energy_mev_per_atom": -696.7, "dft_energy_ev_per_atom": -4.268, "mass_density_g_cm3": 8.689, "spacegroup": "P4/mmm", "lattice": [[3.955, 0.000, 0.000], [0.000, 3.955, 0.000], [0.000, 0.000, 8.769]], "species": ["Ba", "Dy", "Bi", "Bi"], "frac_coords": [[0.000, 0.000, 0.000], [0.000, 0.000, 0.500], [0.500, 0.500, 0.284], [0.500, 0.500, 0.716]]}